--- 1 ---
Below is a relaxed structure of K3In2Au3, with properties calculated at the GGA-PBE level.

Summary:
DOS(E_F) (states/eV/f.u.): 2.530

```
data_K3In2Au3
_chemical_formula_sum 'K12 In8 Au12'
_space_group_name_H-M_alt 'C m c m'
_space_group_IT_number 63
_space_group_name_Hall '-C 2c 2'
_cell_length_a 4.901
_cell_length_b 12.279
_cell_length_c 15.924
_cell_angle_alpha 90.00
_cell_angle_beta 90.00
_cell_angle_gamma 90.00
loop_
_atom_site_label
_atom_site_type_symbol
_atom_site_fract_x
_atom_site_fract_y
_atom_site_fract_z
K1 K 0.000 0.079 0.119
K2 K 0.000 0.385 0.250
In1 In 0.000 0.213 0.583
Au1 Au 0.000 0.300 0.750
Au2 Au 0.000 0.391 0.031
```

=====

--- 2 ---
Below is a relaxed structure of K3In2Au3, with properties calculated at the GGA-PBE level.

Summary:
DOS(E_F) (states/eV/f.u.): 1.983

```
data_K3In2Au3
_chemical_formula_sum 'K12 In8 Au12'
_space_group_name_H-M_alt 'P n m a'
_space_group_IT_number 62
_space_group_name_Hall '-P 2ac 2n'
_cell_length_a 9.065
_cell_length_b 16.261
_cell_length_c 6.923
_cell_angle_alpha 90.00
_cell_angle_beta 90.00
_cell_angle_gamma 90.00
loop_
_atom_site_label
_atom_site_type_symbol
_atom_site_fract_x
_atom_site_fract_y
_atom_site_fract_z
K1 K 0.030 0.107 0.129
K2 K 0.191 0.250 0.582
In1 In 0.116 0.594 0.389
Au1 Au 0.168 0.750 0.559
Au2 Au 0.178 0.042 0.625
```

=====

Most favorable structure: 2. The second most favorable one is 7 meV/atom above it.